This record from the Alexandria database describes V6CrOs2 after structural relaxation. The functional is PBE.

The structure in POSCAR format:
```
V6CrOs2
1.0
4.1144 0.0000 -0.1598
0.0000 5.7838 0.0000
-1.8232 -2.8919 6.1150
V Cr Os
6 1 2
direct
0.1608 0.4051 0.3217
0.8392 0.0834 0.6783
0.8392 0.5949 0.6783
0.5000 0.2381 0.0000
0.1608 0.9166 0.3217
0.5000 0.7619 0.0000
0.0000 0.0000 0.0000
0.6672 0.6671 0.3342
0.3328 0.3329 0.6658
```

Total magnetization (Bohr magnetons per cell): 0.000
Calculated formation energy (eV/atom): 0.3964
Symmetry: No. 71
Raw total energy (eV for the cell shown): -83.2